Below is a relaxed Ce2Y3Co2 crystal, with properties calculated at the GGA-PBE level.

abc: 11.8711 3.5733 8.9002
angles: 90.00 112.33 90.00
Positions (direct):
Ce 0.1836 0.0000 0.3187
Ce 0.3164 0.5000 0.6813
Ce 0.6836 0.5000 0.3187
Ce 0.8164 0.0000 0.6813
Y 0.0000 0.5000 0.5000
Y 0.1152 0.5000 0.9196
Y 0.3848 0.0000 0.0804
Y 0.5000 0.0000 0.5000
Y 0.6152 0.0000 0.9196
Y 0.8848 0.5000 0.0804
Co 0.1939 0.0000 0.7357
Co 0.3061 0.5000 0.2643
Co 0.6939 0.5000 0.7357
Co 0.8061 0.0000 0.2643

As for the space-group type: C2/m. The value obtained for the calculated volume is 24.944 Å³ per atom. The formation energy is -0.16 eV/atom.

***

Below is a relaxed LiTlRe2 crystal, with properties calculated at the GGA-PBE level.

abc: 8.6945 2.8376 5.4669
angles: 90.00 95.57 90.00
Positions (direct):
Li 0.0000 0.0000 0.0000
Li 0.5000 0.5000 0.0000
Tl 0.2548 0.5000 0.2224
Tl 0.7548 0.0000 0.2224
Re 0.2452 0.0000 0.7299
Re 0.4976 0.0000 0.5506
Re 0.7452 0.5000 0.7299
Re 0.9976 0.5000 0.5506

As for the space-group type: Cm. The energy above the most stable polymorph in this dataset comes out at 304 meV per atom. The value obtained for the calculated volume is 16.780 Å³ per atom. The formation energy is 0.57 eV/atom.

***

Below is a relaxed Co2Cu2Ir crystal, with properties calculated at the GGA-PBE level.

abc: 6.6085 6.6085 2.8473
angles: 90.00 90.00 90.00
Positions (direct):
Co 0.1205 0.3795 0.0000
Co 0.3795 0.8795 0.0000
Co 0.6205 0.1205 0.0000
Co 0.8795 0.6205 0.0000
Cu 0.1764 0.6764 0.5000
Cu 0.3236 0.1764 0.5000
Cu 0.6764 0.8236 0.5000
Cu 0.8236 0.3236 0.5000
Ir 0.0000 0.0000 0.0000
Ir 0.5000 0.5000 0.0000

As for the space-group type: P4/mbm. The energy above the most stable polymorph in this dataset comes out at 0 meV per atom. The value obtained for the calculated volume is 12.435 Å³ per atom. The formation energy is 0.38 eV/atom.

***

Below is a relaxed BiPdN crystal, with properties calculated at the GGA-PBE level.

abc: 3.5426 5.2344 6.8768
angles: 77.36 75.09 70.23
Positions (direct):
Bi 0.2188 0.3413 0.2214
Bi 0.7812 0.6587 0.7786
Pd 0.3923 0.7973 0.4147
Pd 0.6077 0.2027 0.5853
N 0.3812 0.3780 0.8591
N 0.6188 0.6220 0.1409

As for the space-group type: P-1. The energy above the most stable polymorph in this dataset comes out at 546 meV per atom. As for the uncorrected formation energy: 0.588 eV per atom. The value obtained for the calculated volume is 19.123 Å³ per atom.

***

Below is a relaxed YTlRe crystal, with properties calculated at the GGA-PBE level.

abc: 3.4010 3.4010 6.8782
angles: 90.00 90.00 120.00
Positions (direct):
Y 0.0000 0.0000 0.0000
Tl 0.6667 0.3333 0.6069
Re 0.3333 0.6667 0.2984

As for the space-group type: P3m1. The energy above the most stable polymorph in this dataset comes out at 167 meV per atom. The value obtained for the calculated volume is 22.966 Å³ per atom. The formation energy is 0.59 eV/atom.

***

Below is a relaxed Be2TeMoSe crystal, with properties calculated at the GGA-PBE level.

abc: 4.5945 4.5945 5.0422
angles: 90.00 90.00 90.00
Positions (direct):
Be 0.0000 0.5000 0.0000
Be 0.5000 0.0000 0.0000
Te 0.0000 0.0000 0.5000
Mo 0.0000 0.0000 0.0000
Se 0.5000 0.5000 0.5000

As for the space-group type: P4/mmm. As for the uncorrected formation energy: 1.108 eV per atom. The value obtained for the calculated volume is 21.288 Å³ per atom.